AlMoPS2: PBEsol geometry, SCAN.

Cell: 4.4739 4.4739 4.5420 Å, 90.00 90.00 90.00°
Element x y z (fractional)
Al (0.0000, 0.0000, 0.0000)
Mo (0.5000, 0.5000, 0.5000)
P (0.0000, 0.0000, 0.5000)
S (0.0000, 0.5000, 0.0000)
S (0.5000, 0.0000, 0.0000)

Tl2P: PBEsol geometry, SCAN.

Summary:
calculated formation energy: 75 meV per atom
energy above the lowest structure with this stoichiometry: 0 meV/atom

Cell: 5.9981 5.9981 8.2931 Å, 104.68 104.68 31.62°
Element x y z (fractional)
Tl (0.0000, 0.0000, 0.0000)
Tl (0.0638, 0.0638, 0.4142)
Tl (0.3591, 0.3591, 0.6215)
Tl (0.7688, 0.7688, 0.2373)
P (0.2418, 0.2418, 0.8927)
P (0.6266, 0.6266, 0.7588)

CrP2W: PBEsol geometry, SCAN.

Summary:
calculated formation energy: -271 meV per atom
energy above the lowest structure with this stoichiometry: 145 meV/atom

Cell: 3.0486 3.0486 5.3818 Å, 90.00 90.00 90.00°
Element x y z (fractional)
Cr (0.0000, 0.0000, 0.0000)
P (0.0000, 0.0000, 0.4444)
P (0.5000, 0.5000, 0.1650)
W (0.5000, 0.5000, 0.6533)

LaAl3W: PBEsol geometry, SCAN.

Summary:
calculated formation energy: -58 meV per atom

Cell: 4.8516 4.8516 4.8516 Å, 90.00 90.00 90.00°
Element x y z (fractional)
La (0.0000, 0.0000, 0.0000)
Al (0.0000, 0.5000, 0.5000)
Al (0.5000, 0.0000, 0.5000)
Al (0.5000, 0.5000, 0.0000)
W (0.5000, 0.5000, 0.5000)

We obtain DFT total energy values of -69.655; -154.891; -109.952; -136.336 eV per formula unit for the records listed above, in that order.